# PBE CrCo3W, relaxed
data_CrCo3W
_symmetry_space_group_name_H-M 'P m -3 m'
_symmetry_Int_Tables_number 221
_symmetry_space_group_name_Hall '-P 4 2 3'
_cell_length_a 4.381
_cell_length_b 4.381
_cell_length_c 4.381
_cell_angle_alpha 90.00
_cell_angle_beta 90.00
_cell_angle_gamma 90.00
loop_
_atom_site_label
_atom_site_type_symbol
_atom_site_fract_x
_atom_site_fract_y
_atom_site_fract_z
Cr1 Cr 0.000 0.000 0.000
Co1 Co 0.000 0.500 0.500
W1 W 0.500 0.500 0.500
# E above lowest polymorph = 51.71 kJ per mole of atoms